1.
# FeH2

A relaxed FeH2 crystal (PBE, OQMD via LeMat-Bulk).

```
data_FeH2
_chemical_formula_sum 'Fe1 H2'
_cell_length_a 2.4791
_cell_length_b 2.4791
_cell_length_c 3.9830
_cell_angle_alpha 90.00
_cell_angle_beta 90.00
_cell_angle_gamma 120.00
_symmetry_space_group_name_H-M 'P -3 m 1'
_symmetry_Int_Tables_number 164
_symmetry_space_group_name_Hall '-P 3 2"'
loop_
_atom_site_label
_atom_site_fract_x
_atom_site_fract_y
_atom_site_fract_z
Fe1 0.0000 0.0000 0.0000
H1 0.3333 0.6667 0.2409
```

2.
# InCoAuSe2S

A relaxed InCoAuSe2S crystal (PBE, OQMD via LeMat-Bulk).

```
data_InCoAuSe2S
_chemical_formula_sum 'In4 Co4 Au4 Se8 S4'
_cell_length_a 3.650
_cell_length_b 14.132
_cell_length_c 9.841
_cell_angle_alpha 90.00
_cell_angle_beta 90.00
_cell_angle_gamma 90.00
_symmetry_space_group_name_H-M 'C m c m'
_symmetry_Int_Tables_number 63
_symmetry_space_group_name_Hall '-C 2c 2'
loop_
_atom_site_label
_atom_site_fract_x
_atom_site_fract_y
_atom_site_fract_z
In1 0.000 0.167 0.250
Co1 0.000 0.500 0.000
Au1 0.000 0.179 0.750
Se1 0.000 0.109 0.518
S1 0.000 0.465 0.750
```

3.
# BeNiBiOs

A relaxed BeNiBiOs crystal (PBE, OQMD via LeMat-Bulk).

```
data_BeNiBiOs
_chemical_formula_sum 'Be4 Ni4 Bi4 Os4'
_cell_length_a 6.187
_cell_length_b 6.187
_cell_length_c 6.187
_cell_angle_alpha 90.00
_cell_angle_beta 90.00
_cell_angle_gamma 90.00
_symmetry_space_group_name_H-M 'F -4 3 m'
_symmetry_Int_Tables_number 216
_symmetry_space_group_name_Hall 'F -4 2 3'
loop_
_atom_site_label
_atom_site_fract_x
_atom_site_fract_y
_atom_site_fract_z
Be1 0.000 0.000 0.000
Ni1 0.000 0.000 0.500
Bi1 0.250 0.250 0.250
Os1 0.250 0.250 0.750
```

4.
# SrCdSeO

A relaxed SrCdSeO crystal (PBE, OQMD via LeMat-Bulk).

```
data_SrCdSeO
_chemical_formula_sum 'Sr4 Cd4 Se4 O4'
_cell_length_a 6.700
_cell_length_b 6.922
_cell_length_c 7.395
_cell_angle_alpha 90.00
_cell_angle_beta 90.00
_cell_angle_gamma 90.00
_symmetry_space_group_name_H-M 'P 21 21 21'
_symmetry_Int_Tables_number 19
_symmetry_space_group_name_Hall 'P 2ac 2ab'
loop_
_atom_site_label
_atom_site_fract_x
_atom_site_fract_y
_atom_site_fract_z
Sr1 0.174 0.068 0.294
Cd1 0.181 0.420 0.586
Se1 0.077 0.330 0.921
O1 0.076 0.821 0.077
```

5.
# SmHfPd

A relaxed SmHfPd crystal (PBE, OQMD via LeMat-Bulk).

```
data_SmHfPd
_chemical_formula_sum 'Sm4 Hf4 Pd4'
_cell_length_a 6.638
_cell_length_b 6.638
_cell_length_c 6.638
_cell_angle_alpha 90.00
_cell_angle_beta 90.00
_cell_angle_gamma 90.00
_symmetry_space_group_name_H-M 'F -4 3 m'
_symmetry_Int_Tables_number 216
_symmetry_space_group_name_Hall 'F -4 2 3'
loop_
_atom_site_label
_atom_site_fract_x
_atom_site_fract_y
_atom_site_fract_z
Sm1 0.000 0.000 0.000
Hf1 0.250 0.250 0.750
Pd1 0.250 0.250 0.250
```

For the energy relative to the elements, the calculation gives 0.630 eV/atom. Its distance to the lowest polymorph of the same formula is 0.738 eV per atom.

6.
# LiNdAg3Te4

A relaxed LiNdAg3Te4 crystal (PBE, OQMD via LeMat-Bulk).

```
data_LiNdAg3Te4
_chemical_formula_sum 'Li1 Nd1 Ag3 Te4'
_cell_length_a 6.620
_cell_length_b 6.620
_cell_length_c 6.620
_cell_angle_alpha 90.00
_cell_angle_beta 90.00
_cell_angle_gamma 90.00
_symmetry_space_group_name_H-M 'P -4 3 m'
_symmetry_Int_Tables_number 215
_symmetry_space_group_name_Hall 'P -4 2 3'
loop_
_atom_site_label
_atom_site_fract_x
_atom_site_fract_y
_atom_site_fract_z
Li1 0.000 0.000 0.000
Nd1 0.500 0.500 0.500
Ag1 0.000 0.500 0.500
Te1 0.239 0.239 0.239
```

7.
# KMgFeTc

A relaxed KMgFeTc crystal (PBE, OQMD via LeMat-Bulk).

```
data_KMgFeTc
_chemical_formula_sum 'K4 Mg4 Fe4 Tc4'
_cell_length_a 6.754
_cell_length_b 6.754
_cell_length_c 6.754
_cell_angle_alpha 90.00
_cell_angle_beta 90.00
_cell_angle_gamma 90.00
_symmetry_space_group_name_H-M 'F -4 3 m'
_symmetry_Int_Tables_number 216
_symmetry_space_group_name_Hall 'F -4 2 3'
loop_
_atom_site_label
_atom_site_fract_x
_atom_site_fract_y
_atom_site_fract_z
K1 0.000 0.000 0.000
Mg1 0.250 0.250 0.250
Fe1 0.250 0.250 0.750
Tc1 0.000 0.000 0.500
```

Its distance to the lowest polymorph of the same formula is 0.000 eV per atom.

8.
# Gd2ErFe2Ni7

A relaxed Gd2ErFe2Ni7 crystal (PBE, OQMD via LeMat-Bulk).

```
data_Gd2ErFe2Ni7
_chemical_formula_sum 'Gd6 Er3 Fe6 Ni21'
_cell_length_a 4.9839
_cell_length_b 4.9839
_cell_length_c 24.3061
_cell_angle_alpha 90.00
_cell_angle_beta 90.00
_cell_angle_gamma 120.00
_symmetry_space_group_name_H-M 'R -3 m'
_symmetry_Int_Tables_number 166
_symmetry_space_group_name_Hall '-R 3 2"'
loop_
_atom_site_label
_atom_site_fract_x
_atom_site_fract_y
_atom_site_fract_z
Gd1 0.0000 0.0000 0.1389
Er1 0.0000 0.0000 0.0000
Fe1 0.0000 0.0000 0.3326
Ni1 0.0000 0.0000 0.5000
Ni2 0.0017 0.5008 0.0808
```

For the energy relative to the elements, the calculation gives -0.336 eV/atom.

9.
# YTaNiB

A relaxed YTaNiB crystal (PBE, OQMD via LeMat-Bulk).

```
data_YTaNiB
_chemical_formula_sum 'Y4 Ta4 Ni4 B4'
_cell_length_a 6.262
_cell_length_b 6.262
_cell_length_c 6.262
_cell_angle_alpha 90.00
_cell_angle_beta 90.00
_cell_angle_gamma 90.00
_symmetry_space_group_name_H-M 'F -4 3 m'
_symmetry_Int_Tables_number 216
_symmetry_space_group_name_Hall 'F -4 2 3'
loop_
_atom_site_label
_atom_site_fract_x
_atom_site_fract_y
_atom_site_fract_z
Y1 0.000 0.000 0.000
Ta1 0.250 0.250 0.250
Ni1 0.250 0.250 0.750
B1 0.000 0.000 0.500
```

Its distance to the lowest polymorph of the same formula is 0.683 eV per atom.

10.
# Na2IrPbO6

A relaxed Na2IrPbO6 crystal (PBE, OQMD via LeMat-Bulk).

```
data_Na2IrPbO6
_chemical_formula_sum 'Na8 Ir4 Pb4 O24'
_cell_length_a 8.047
_cell_length_b 8.047
_cell_length_c 8.047
_cell_angle_alpha 90.00
_cell_angle_beta 90.00
_cell_angle_gamma 90.00
_symmetry_space_group_name_H-M 'F m -3 m'
_symmetry_Int_Tables_number 225
_symmetry_space_group_name_Hall '-F 4 2 3'
loop_
_atom_site_label
_atom_site_fract_x
_atom_site_fract_y
_atom_site_fract_z
Na1 0.250 0.250 0.250
Ir1 0.000 0.000 0.000
Pb1 0.000 0.000 0.500
O1 0.000 0.000 0.238
```

11.
# PmNbPt

A relaxed PmNbPt crystal (PBE, OQMD via LeMat-Bulk).

```
data_PmNbPt
_chemical_formula_sum 'Pm4 Nb4 Pt4'
_cell_length_a 6.646
_cell_length_b 6.646
_cell_length_c 6.646
_cell_angle_alpha 90.00
_cell_angle_beta 90.00
_cell_angle_gamma 90.00
_symmetry_space_group_name_H-M 'F -4 3 m'
_symmetry_Int_Tables_number 216
_symmetry_space_group_name_Hall 'F -4 2 3'
loop_
_atom_site_label
_atom_site_fract_x
_atom_site_fract_y
_atom_site_fract_z
Pm1 0.000 0.000 0.000
Nb1 0.250 0.250 0.750
Pt1 0.250 0.250 0.250
```

For the energy relative to the elements, the calculation gives 0.725 eV/atom. Its distance to the lowest polymorph of the same formula is 0.767 eV per atom.

12.
# NpFeAg

A relaxed NpFeAg crystal (PBE, OQMD via LeMat-Bulk).

```
data_NpFeAg
_chemical_formula_sum 'Np4 Fe4 Ag4'
_cell_length_a 6.126
_cell_length_b 6.126
_cell_length_c 6.126
_cell_angle_alpha 90.00
_cell_angle_beta 90.00
_cell_angle_gamma 90.00
_symmetry_space_group_name_H-M 'F -4 3 m'
_symmetry_Int_Tables_number 216
_symmetry_space_group_name_Hall 'F -4 2 3'
loop_
_atom_site_label
_atom_site_fract_x
_atom_site_fract_y
_atom_site_fract_z
Np1 0.000 0.000 0.000
Fe1 0.250 0.250 0.250
Ag1 0.000 0.000 0.500
```

For the energy relative to the elements, the calculation gives 0.592 eV/atom. Its distance to the lowest polymorph of the same formula is 0.000 eV per atom.

| no. | total DFT energy (no corrections) (eV/atom) |
| --- | --- |
| 1 | -4.886 |
| 2 | -4.222 |
| 3 | -5.430 |
| 4 | -4.320 |
| 5 | -5.983 |
| 6 | -3.603 |
| 7 | -4.139 |
| 8 | -6.125 |
| 9 | -6.695 |
| 10 | -5.328 |
| 11 | -6.240 |
| 12 | -7.375 |